[1]
Below is crystalline CaCoC at its relaxed geometry, with properties calculated at the PBE level.

Computed properties:
- Total magnetization: 0.00 Bohr magnetons per cell
- Uncorrected energy: -72.93 eV for the cell shown
- Polymorph energy (0 for the lowest one): 0.160 eV per atom
- SG: Cm (8)

abc: 7.9451 4.4957 5.9601
angles: 90.00 96.49 90.00
Sites, in units of the cell vectors:
Ca 0.2428 0.0000 0.1165
Ca 0.2428 0.5000 0.6165
Ca 0.6532 0.0000 0.6788
Ca 0.6532 0.5000 0.1788
Co 0.9856 0.0000 0.4874
Co 0.9856 0.5000 0.9874
Co 0.9042 0.0000 0.0937
Co 0.9042 0.5000 0.5937
C 0.9713 0.3370 0.2985
C 0.9713 0.6630 0.2985
C 0.9713 0.8370 0.7985
C 0.9713 0.1630 0.7985

---

[2]
Below is crystalline Y4CdW at its relaxed geometry, with properties calculated at the PBE level.

Computed properties:
- Total magnetization: 0.00 Bohr magnetons per cell
- Uncorrected energy: -34.62 eV for the cell shown
- SG: F-43m (216)

abc: 6.0710 6.0710 6.0710
angles: 60.00 60.00 60.00
Sites, in units of the cell vectors:
Y 0.8791 0.3736 0.3736
Y 0.3736 0.3736 0.8791
Y 0.3736 0.8791 0.3736
Y 0.3736 0.3736 0.3736
Cd 0.7500 0.7500 0.7500
W 0.0000 0.0000 0.0000

---

[3]
Below is crystalline RbPd2Cl7 at its relaxed geometry, with properties calculated at the PBE level.

Computed properties:
- Total magnetization: 0.00 Bohr magnetons per cell
- Uncorrected energy: -30.53 eV for the cell shown
- SG: Cmmm (65)
- ΔE_f (raw): -0.63 eV per atom

abc: 4.4939 9.3189 9.3189
angles: 130.52 90.00 90.00
Sites, in units of the cell vectors:
Rb 0.0000 0.0000 0.0000
Pd 0.5000 0.6402 0.3598
Pd 0.5000 0.3598 0.6402
Cl 0.0000 0.6807 0.3193
Cl 0.0000 0.3193 0.6807
Cl 0.5000 0.0627 0.3391
Cl 0.5000 0.9373 0.6609
Cl 0.5000 0.3391 0.0627
Cl 0.5000 0.6609 0.9373
Cl 0.5000 0.5000 0.5000

---

[4]
Below is crystalline MnAlNi6 at its relaxed geometry, with properties calculated at the PBE level.

Computed properties:
- Total magnetization: 5.59 Bohr magnetons per cell
- Uncorrected energy: -49.76 eV for the cell shown
- Polymorph energy (0 for the lowest one): 0.001 eV per atom
- SG: P4/mmm (123)

abc: 3.5499 5.0505 5.0505
angles: 89.98 90.00 90.00
Sites, in units of the cell vectors:
Mn 0.5000 0.0000 0.0000
Al 0.5000 0.5000 0.5000
Ni 0.0000 0.7502 0.2498
Ni 0.0000 0.2498 0.7502
Ni 0.0000 0.7503 0.7503
Ni 0.0000 0.2497 0.2497
Ni 0.5000 0.5000 0.0000
Ni 0.5000 0.0000 0.5000

---

[5]
Below is crystalline Mg3In3Ni2Ir at its relaxed geometry, with properties calculated at the PBE level.

Computed properties:
- Total magnetization: 0.00 Bohr magnetons per cell
- Uncorrected energy: -34.98 eV for the cell shown
- SG: P-62m (189)

abc: 3.1966 7.5688 7.5688
angles: 120.00 90.00 90.00
Sites, in units of the cell vectors:
Mg 0.5000 0.7201 0.0000
Mg 0.5000 0.0000 0.7201
Mg 0.5000 0.2799 0.2799
In 0.0000 0.6186 0.6186
In 0.0000 0.0000 0.3814
In 0.0000 0.3814 0.0000
Ni 0.5000 0.6667 0.3333
Ni 0.5000 0.3333 0.6667
Ir 0.0000 0.0000 0.0000

---

[6]
Below is crystalline EuNpO2 at its relaxed geometry, with properties calculated at the PBE level.

Computed properties:
- Total magnetization: 2.47 Bohr magnetons per cell
- Uncorrected energy: -40.70 eV for the cell shown
- Polymorph energy (0 for the lowest one): 0.515 eV per atom
- SG: P4/mmm (123)
- ΔE_f (raw): -1.89 eV per atom

abc: 3.0298 3.0298 6.2942
angles: 90.00 90.00 90.00
Sites, in units of the cell vectors:
Np 0.5000 0.5000 0.0000
Eu 0.5000 0.5000 0.5000
O 0.0000 0.0000 0.2445
O 0.0000 0.0000 0.7555

---

[7]
Below is crystalline Pm2Y2Ga4Cu at its relaxed geometry, with properties calculated at the PBE level.

Computed properties:
- Total magnetization: 0.42 Bohr magnetons per cell
- Uncorrected energy: -41.55 eV for the cell shown
- SG: I4/mmm (139)

abc: 6.5823 6.5823 6.5823
angles: 98.27 115.35 115.35
Sites, in units of the cell vectors:
Pm 0.0000 0.6887 0.6887
Pm 0.0000 0.3113 0.3113
Y 0.5000 0.7500 0.2500
Y 0.5000 0.2500 0.7500
Ga 0.0000 0.7635 0.2365
Ga 0.5270 0.7635 0.7635
Ga 0.0000 0.2365 0.7635
Ga 0.4730 0.2365 0.2365
Cu 0.0000 0.0000 0.0000

---

[8]
Below is crystalline BeCr2Tc at its relaxed geometry, with properties calculated at the PBE level.

Computed properties:
- Total magnetization: 0.00 Bohr magnetons per cell
- Uncorrected energy: -33.09 eV for the cell shown
- SG: P2/m (10)

abc: 4.1016 2.4943 4.7064
angles: 78.20 90.00 90.00
Sites, in units of the cell vectors:
Cr 0.0000 0.0299 0.9819
Cr 0.0000 0.4701 0.5181
Tc 0.5000 0.2500 0.2500
Be 0.5000 0.7500 0.7500

---

What did the fourth record say?
Below is crystalline MnAlNi6 at its relaxed geometry, with properties calculated at the PBE level.

Computed properties:
- Total magnetization: 5.59 Bohr magnetons per cell
- Uncorrected energy: -49.76 eV for the cell shown
- Polymorph energy (0 for the lowest one): 0.001 eV per atom
- SG: P4/mmm (123)

abc: 3.5499 5.0505 5.0505
angles: 89.98 90.00 90.00
Sites, in units of the cell vectors:
Mn 0.5000 0.0000 0.0000
Al 0.5000 0.5000 0.5000
Ni 0.0000 0.7502 0.2498
Ni 0.0000 0.2498 0.7502
Ni 0.0000 0.7503 0.7503
Ni 0.0000 0.2497 0.2497
Ni 0.5000 0.5000 0.0000
Ni 0.5000 0.0000 0.5000